DFT (PBE) results for ZrPbN2F after structural relaxation.

Results
formation energy from raw total energies = -0.8331 eV per atom
energy relative to the lowest polymorph listed for this composition = 0 meV per atom
calculated volume = 78.74 Å³/f.u.

Unit cell a=4.307 b=4.307 c=4.245 alpha=90.00 beta=90.00 gamma=90.00
Fractional positions:
Zr 0.000 0.000 0.000
Pb 0.500 0.500 0.500
N 0.000 0.500 0.000
N 0.500 0.000 0.000
F 0.000 0.000 0.500